# KCr4Mo

A relaxed structure of KCr4Mo (GGA-PBEsol, Alexandria via LeMat-Bulk).

Cell lengths 4.932, 4.932, 4.932 Å; angles 60.00, 60.00, 60.00 degrees
Fractional positions:
Cr: 0.376 0.376 0.376
Cr: 0.376 0.376 0.873
Cr: 0.873 0.376 0.376
Cr: 0.376 0.873 0.376
K: 0.750 0.750 0.750
Mo: 0.000 0.000 0.000

Calculated values
Crystal system   cubic
Spin magnetization   0.002 μB per formula unit
Energy relative to the elements   1.20 eV/atom
Symmetry   F-43m
Energy   -46.70 eV for the cell shown

=====

# Ni2BAsSe

A relaxed structure of Ni2BAsSe (GGA-PBEsol, Alexandria via LeMat-Bulk).

Cell lengths 3.820, 4.468, 4.468 Å; angles 90.00, 90.00, 90.00 degrees
Fractional positions:
Ni: 0.000 0.000 0.500
Ni: 0.000 0.500 0.000
As: 0.000 0.000 0.000
B: 0.500 0.000 0.000
Se: 0.500 0.500 0.500

Calculated values
Raw formation energy   4.72 eV/f.u.
Crystal system   tetragonal
Spin magnetization   0.000 μB per formula unit
Symmetry   P4/mmm
Energy   -23.57 eV for the cell shown

=====

# CuRh2Au

A relaxed structure of CuRh2Au (GGA-PBEsol, Alexandria via LeMat-Bulk).

Cell lengths 2.728, 4.516, 4.580 Å; angles 90.00, 90.00, 90.00 degrees
Fractional positions:
Au: 0.500 0.000 0.500
Cu: 0.000 0.500 0.500
Rh: 0.000 0.000 0.000
Rh: 0.500 0.500 0.000

Calculated values
Crystal system   orthorhombic
Spin magnetization   0.003 μB per formula unit
Energy relative to the elements   0.22 eV/atom
Offset from the most stable computed form   0.156 eV/atom
Symmetry   Pmmm
Energy   -23.67 eV for the cell shown

=====

# ZrPtO2F

A relaxed structure of ZrPtO2F (GGA-PBEsol, Alexandria via LeMat-Bulk).

Cell lengths 3.943, 3.943, 4.279 Å; angles 90.00, 90.00, 90.00 degrees
Each line ends with the local moment (μB).
Fractional positions:
O: 0.000 0.500 0.000  -0.03
O: 0.500 0.000 0.000  -0.03
Zr: 0.500 0.500 0.500  0.82
Pt: 0.000 0.000 0.000  -0.07
F: 0.000 0.000 0.500  0.02

Calculated values
Raw formation energy   -2.55 eV/f.u.
Crystal system   tetragonal
Spin magnetization   1.035 μB per formula unit
Symmetry   P4/mmm
Energy   -31.03 eV for the cell shown

=====

# ZrP2Rh

A relaxed structure of ZrP2Rh (GGA-PBEsol, Alexandria via LeMat-Bulk).

Cell lengths 2.857, 3.281, 6.222 Å; angles 90.00, 90.00, 90.00 degrees
Fractional positions:
P: 0.000 0.000 0.769
P: 0.000 0.000 0.231
Rh: 0.500 0.500 0.000
Zr: 0.500 0.500 0.500

Calculated values
Crystal system   orthorhombic
Spin magnetization   0.000 μB per formula unit
Energy relative to the elements   -0.56 eV/atom
Offset from the most stable computed form   0.300 eV/atom
Symmetry   Pmmm
Energy   -31.05 eV for the cell shown

=====

# CoMo2Pt

A relaxed structure of CoMo2Pt (GGA-PBEsol, Alexandria via LeMat-Bulk).

Cell lengths 2.668, 3.868, 5.335 Å; angles 90.00, 90.00, 90.00 degrees
Each line ends with the local moment (μB).
Fractional positions:
Mo: 0.000 0.000 0.733  0.01
Mo: 0.000 0.000 0.267  0.01
Co: 0.500 0.500 0.500  0.30
Pt: 0.500 0.500 0.000  0.00

Calculated values
Crystal system   orthorhombic
Spin magnetization   0.309 μB per formula unit
Energy relative to the elements   -0.15 eV/atom
Offset from the most stable computed form   0.012 eV/atom
Symmetry   Pmmm
Energy   -38.83 eV for the cell shown

=====

# Ta2CuRh

A relaxed structure of Ta2CuRh (GGA-PBEsol, Alexandria via LeMat-Bulk).

Cell lengths 2.798, 3.896, 5.491 Å; angles 90.00, 89.98, 90.00 degrees
Fractional positions:
Cu: 0.500 0.500 0.000
Rh: 0.500 0.500 0.500
Ta: 0.000 0.000 0.749
Ta: 0.000 0.000 0.251

Calculated values
Crystal system   orthorhombic
Spin magnetization   0.000 μB per formula unit
Energy relative to the elements   -0.19 eV/atom
Symmetry   Pmmm
Energy   -38.32 eV for the cell shown

=====

# YBTeRh2

A relaxed structure of YBTeRh2 (GGA-PBEsol, Alexandria via LeMat-Bulk).

Cell lengths 4.373, 4.818, 4.818 Å; angles 90.00, 90.00, 90.00 degrees
Fractional positions:
Y: 0.500 0.500 0.500
B: 0.500 0.000 0.000
Te: 0.000 0.000 0.000
Rh: 0.000 0.000 0.500
Rh: 0.000 0.500 0.000

Calculated values
Raw formation energy   3.33 eV/f.u.
Crystal system   tetragonal
Spin magnetization   0.000 μB per formula unit
Symmetry   P4/mmm
Energy   -30.32 eV for the cell shown

=====

# ReW2

A relaxed structure of ReW2 (GGA-PBEsol, Alexandria via LeMat-Bulk).

Cell lengths 3.137, 5.186, 6.286 Å; angles 107.78, 90.00, 107.60 degrees
Fractional positions:
Re: 0.164 0.327 0.585
Re: 0.836 0.673 0.415
W: 0.497 0.994 0.750
W: 0.503 0.006 0.250
W: 0.167 0.335 0.083
W: 0.833 0.665 0.917

Calculated values
Crystal system   monoclinic
Spin magnetization   0.000 μB per formula unit
Energy relative to the elements   0.08 eV/atom
Offset from the most stable computed form   0.012 eV/atom
Symmetry   C2/m
Energy   -81.42 eV for the cell shown

=====

# Li2ZnIn

A relaxed structure of Li2ZnIn (GGA-PBEsol, Alexandria via LeMat-Bulk).

Cell lengths 3.343, 4.412, 4.412 Å; angles 89.94, 90.00, 90.00 degrees
Fractional positions:
Zn: 0.500 0.000 0.000
In: 0.500 0.500 0.500
Li: 0.000 0.000 0.500
Li: 0.000 0.500 0.000

Calculated values
Crystal system   tetragonal
Spin magnetization   0.000 μB per formula unit
Energy relative to the elements   -0.21 eV/atom
Symmetry   P4/mmm
Energy   -9.34 eV for the cell shown

=====

# AlRe2Rh

A relaxed structure of AlRe2Rh (GGA-PBEsol, Alexandria via LeMat-Bulk).

Cell lengths 2.757, 3.832, 5.404 Å; angles 90.00, 90.00, 90.00 degrees
Fractional positions:
Re: 0.000 0.000 0.015
Re: 0.500 0.500 0.226
Rh: 0.000 0.000 0.528
Al: 0.500 0.500 0.730

Calculated values
Crystal system   orthorhombic
Spin magnetization   0.000 μB per formula unit
Energy relative to the elements   -0.19 eV/atom
Symmetry   Pmm2
Energy   -39.64 eV for the cell shown

=====

# Zn2Pb

A relaxed structure of Zn2Pb (GGA-PBEsol, Alexandria via LeMat-Bulk).

Cell lengths 5.386, 5.386, 9.259 Å; angles 90.00, 90.00, 120.00 degrees
Fractional positions:
Pb: 0.667 0.333 0.930
Pb: 0.333 0.667 0.430
Pb: 0.333 0.667 0.070
Pb: 0.667 0.333 0.570
Zn: 0.000 0.000 0.000
Zn: 0.000 0.000 0.500
Zn: 0.168 0.832 0.750
Zn: 0.832 0.168 0.250
Zn: 0.664 0.832 0.750
Zn: 0.168 0.336 0.750
Zn: 0.832 0.664 0.250
Zn: 0.336 0.168 0.250

Calculated values
Crystal system   hexagonal
Spin magnetization   0.000 μB per formula unit
Energy relative to the elements   0.11 eV/atom
Symmetry   P6_3/mmc
Energy   -27.34 eV for the cell shown

=====

# CaBeCr2

A relaxed structure of CaBeCr2 (GGA-PBEsol, Alexandria via LeMat-Bulk).

Cell lengths 2.444, 4.922, 5.231 Å; angles 115.86, 99.46, 98.46 degrees
Fractional positions:
Cr: 0.000 0.000 0.500
Cr: 0.500 0.500 0.500
Ca: 0.000 0.500 0.000
Be: 0.500 0.000 0.000

Calculated values
Crystal system   monoclinic
Spin magnetization   0.003 μB per formula unit
Energy relative to the elements   1.01 eV/atom
Symmetry   C2/m
Energy   -22.60 eV for the cell shown

=====

# RhBr2

A relaxed structure of RhBr2 (GGA-PBEsol, Alexandria via LeMat-Bulk).

Cell lengths 5.399, 5.399, 5.399 Å; angles 108.44, 108.44, 111.56 degrees
Fractional positions:
Br: 0.787 0.287 0.074
Br: 0.213 0.713 0.926
Br: 0.287 0.213 0.500
Br: 0.713 0.787 0.500
Rh: 0.750 0.750 0.000
Rh: 0.250 0.250 0.000

Calculated values
Raw formation energy   0.65 eV/f.u.
Crystal system   tetragonal
Spin magnetization   0.000 μB per formula unit
Symmetry   I4/mcm
Energy   -22.46 eV for the cell shown

=====

# Nd2TiO5

A relaxed structure of Nd2TiO5 (GGA-PBEsol, Alexandria via LeMat-Bulk).

Cell lengths 3.812, 10.699, 11.410 Å; angles 90.00, 90.00, 90.00 degrees
Fractional positions:
Nd: 0.250 0.894 0.720
Nd: 0.750 0.106 0.280
Nd: 0.250 0.394 0.780
Nd: 0.750 0.606 0.220
Nd: 0.750 0.637 0.556
Nd: 0.250 0.363 0.444
Nd: 0.750 0.137 0.944
Nd: 0.250 0.863 0.056
Ti: 0.750 0.683 0.876
Ti: 0.250 0.317 0.124
Ti: 0.750 0.183 0.624
Ti: 0.250 0.817 0.376
O: 0.750 0.521 0.840
O: 0.250 0.479 0.160
O: 0.750 0.021 0.660
O: 0.250 0.979 0.340
O: 0.750 0.767 0.729
O: 0.250 0.233 0.271
O: 0.750 0.267 0.771
O: 0.250 0.733 0.229
O: 0.250 0.737 0.879
O: 0.750 0.263 0.121
O: 0.250 0.237 0.621
O: 0.750 0.763 0.379
O: 0.750 0.991 0.104
O: 0.250 0.009 0.896
O: 0.750 0.491 0.396
O: 0.250 0.509 0.604
O: 0.750 0.723 0.037
O: 0.250 0.277 0.963
O: 0.750 0.223 0.463
O: 0.250 0.777 0.537

Calculated values
Raw formation energy   -26.98 eV/f.u.
Crystal system   orthorhombic
Spin magnetization   0.000 μB per formula unit
Symmetry   Pnma
Energy   -287.51 eV for the cell shown

=====

# KHg2Au

A relaxed structure of KHg2Au (GGA-PBEsol, Alexandria via LeMat-Bulk).

Cell lengths 3.670, 3.670, 7.533 Å; angles 90.00, 90.00, 90.00 degrees
Fractional positions:
K: 0.500 0.500 0.000
Au: 0.500 0.500 0.500
Hg: 0.000 0.000 0.700
Hg: 0.000 0.000 0.300

Calculated values
Crystal system   tetragonal
Spin magnetization   0.000 μB per formula unit
Energy relative to the elements   -0.12 eV/atom
Offset from the most stable computed form   0.057 eV/atom
Symmetry   P4/mmm
Energy   -6.68 eV for the cell shown

=====

# ReMoW2

A relaxed structure of ReMoW2 (GGA-PBEsol, Alexandria via LeMat-Bulk).

Cell lengths 2.715, 2.715, 8.833 Å; angles 90.00, 90.00, 109.71 degrees
Fractional positions:
Re: 0.500 0.500 0.000
Mo: 0.500 0.500 0.500
W: 0.000 0.000 0.249
W: 0.000 0.000 0.751

Calculated values
Crystal system   orthorhombic
Spin magnetization   0.000 μB per formula unit
Energy relative to the elements   0.07 eV/atom
Offset from the most stable computed form   0.053 eV/atom
Symmetry   Cmmm
Energy   -52.44 eV for the cell shown

=====

# TaMnAl2

A relaxed structure of TaMnAl2 (GGA-PBEsol, Alexandria via LeMat-Bulk).

Cell lengths 3.056, 3.056, 6.120 Å; angles 90.00, 90.00, 90.00 degrees
Fractional positions:
Mn: 0.000 0.000 0.493
Al: 0.000 0.000 0.008
Al: 0.500 0.500 0.276
Ta: 0.500 0.500 0.723

Calculated values
Crystal system   tetragonal
Spin magnetization   0.000 μB per formula unit
Energy relative to the elements   -0.21 eV/atom
Offset from the most stable computed form   0.000 eV/atom
Symmetry   P4mm
Energy   -31.33 eV for the cell shown

=====

# Y4MgP

A relaxed structure of Y4MgP (GGA-PBEsol, Alexandria via LeMat-Bulk).

Cell lengths 6.153, 6.153, 6.153 Å; angles 60.00, 60.00, 60.00 degrees
Fractional positions:
Mg: 0.750 0.750 0.750
P: 0.000 0.000 0.000
Y: 0.375 0.375 0.375
Y: 0.375 0.375 0.875
Y: 0.875 0.375 0.375
Y: 0.375 0.875 0.375

Calculated values
Crystal system   cubic
Spin magnetization   0.000 μB per formula unit
Energy relative to the elements   0.43 eV/atom
Symmetry   F-43m
Energy   -32.24 eV for the cell shown

=====

# AgSb2TeOs

A relaxed structure of AgSb2TeOs (GGA-PBEsol, Alexandria via LeMat-Bulk).

Cell lengths 4.953, 4.953, 5.617 Å; angles 90.00, 90.00, 90.00 degrees
Fractional positions:
Sb: 0.000 0.500 0.000
Sb: 0.500 0.000 0.000
Te: 0.000 0.000 0.500
Os: 0.000 0.000 0.000
Ag: 0.500 0.500 0.500

Calculated values
Raw formation energy   3.99 eV/f.u.
Crystal system   tetragonal
Spin magnetization   0.000 μB per formula unit
Offset from the most stable computed form   0.000 eV/atom
Symmetry   P4/mmm
Energy   -24.18 eV for the cell shown